(1)
{"formula": "BaSb", "functional": "GGA-PBEsol", "state": "relaxed", "e_tot_ev_per_cell": -16.57, "rho_g_cm3": 6.11, "dos_at_fermi_per_ev_fu": 1.46, "formation_energy_uncorrected_ev_per_atom": -0.7891, "cell": [[4.9114, 0.0000, 0.0000], [0.0000, 4.9114, 0.0000], [-2.4557, -2.4557, 5.8414]], "species": ["Ba", "Ba", "Sb", "Sb"], "frac_coords": [[0.0000, 0.0000, 0.0000], [0.2500, 0.7500, 0.5000], [0.5000, 0.5000, 0.0000], [0.7500, 0.2500, 0.5000]]}

(2)
{"formula": "BaSc2Sb", "functional": "GGA-PBEsol", "state": "relaxed", "e_tot_ev_per_cell": -20.76, "rho_g_cm3": 5.06, "dos_at_fermi_per_ev_fu": 4.27, "formation_energy_uncorrected_ev_per_atom": -0.2105, "cell": [[-2.6242, 2.2982, 0.8449], [-2.7633, -1.7653, -3.7806], [-1.6223, -5.1727, 3.6011]], "species": ["Ba", "Sc", "Sc", "Sb"], "frac_coords": [[0.5000, 0.5000, 0.0000], [0.1701, 0.0000, 0.2995], [0.8299, 0.0000, 0.7005], [0.0000, 0.5000, 0.5000]]}

(3)
{"formula": "BaSc2Sb", "functional": "GGA-PBEsol", "state": "relaxed", "e_tot_ev_per_cell": -20.80, "rho_g_cm3": 5.47, "dos_at_fermi_per_ev_fu": 5.89, "formation_energy_uncorrected_ev_per_atom": -0.2212, "cell": [[4.5055, 0.0000, 0.0000], [0.0000, 4.8478, 0.0000], [0.0000, 0.0000, 4.8478]], "species": ["Sc", "Sb", "Sc", "Ba"], "frac_coords": [[0.0000, 0.0000, 0.5000], [0.5000, 0.0000, 0.0000], [0.0000, 0.5000, 0.0000], [0.5000, 0.5000, 0.5000]]}